No. 1
Entry from the Open Quantum Materials Database: a geometry-optimized LaFeGe structure (PBE).

The structure in POSCAR format:
```
LaFeGe
1.0
0.000 3.445 3.445
3.445 0.000 3.445
3.445 3.445 0.000
La Fe Ge
1 1 1
Direct
0.000 0.000 0.000
0.250 0.250 0.250
0.750 0.750 0.750
```

Computed properties:
Final energy ... -15.9 eV per cell
Space group ... No. 216

=====

No. 2
Entry from the Open Quantum Materials Database: a geometry-optimized Zr6Al16Ni7 structure (PBE).

The structure in POSCAR format:
```
Zr6Al16Ni7
1.0
-6.039 6.039 0.000
6.039 0.000 -6.039
-6.039 -6.039 0.000
Al Ni Zr
16 7 6
Direct
0.999 0.333 0.666
0.881 0.238 0.119
0.666 0.667 0.334
0.334 0.667 0.001
0.334 0.333 0.666
0.357 0.238 0.119
0.881 0.762 0.119
0.119 0.238 0.357
0.334 0.667 0.666
0.881 0.762 0.643
0.119 0.238 0.881
0.119 0.762 0.881
0.001 0.667 0.334
0.666 0.333 0.334
0.643 0.762 0.881
0.666 0.333 0.999
0.500 0.500 0.000
0.000 0.000 0.500
0.000 0.000 0.000
0.500 0.000 0.000
0.500 0.500 0.500
0.000 0.500 0.500
0.000 0.500 0.000
0.309 0.000 0.309
0.309 0.617 0.309
0.309 0.000 0.691
0.691 0.000 0.691
0.691 0.383 0.691
0.691 0.000 0.309
```

Computed properties:
Final energy ... -168.8 eV per cell
Space group ... No. 225

=====

No. 3
Entry from the Open Quantum Materials Database: a geometry-optimized CuI structure (PBE).

The structure in POSCAR format:
```
CuI
1.0
4.307 0.000 0.000
-2.154 3.730 0.000
0.000 0.000 7.361
I Cu
2 2
Direct
0.000 0.000 0.000
0.333 0.667 0.500
0.000 0.000 0.663
0.000 0.000 0.337
```

Computed properties:
Final energy ... -10.3 eV per cell
Space group ... No. 187

=====

No. 4
Entry from the Open Quantum Materials Database: a geometry-optimized Zn2Se structure (PBE).

The structure in POSCAR format:
```
Zn2Se
1.0
0.000 3.743 3.743
3.743 0.000 3.743
3.743 3.743 0.000
Zn Se
4 2
Direct
0.625 0.625 0.125
0.625 0.125 0.625
0.125 0.625 0.625
0.625 0.625 0.625
0.000 0.000 0.000
0.250 0.250 0.250
```

Computed properties:
Space group ... No. 227
Offset from the most stable computed form ... 0.00 eV per formula unit

=====

No. 5
Entry from the Open Quantum Materials Database: a geometry-optimized Zr2BeSi structure (PBE).

The structure in POSCAR format:
```
Zr2BeSi
1.0
0.000 3.230 3.230
3.230 0.000 3.230
3.230 3.230 0.000
Zr Be Si
2 1 1
Direct
0.000 0.000 0.000
0.750 0.750 0.750
0.250 0.250 0.250
0.500 0.500 0.500
```

Computed properties:
Final energy ... -25.1 eV per cell
Space group ... No. 216

=====

No. 6
Entry from the Open Quantum Materials Database: a geometry-optimized Nd2OsAu3 structure (PBE).

The structure in POSCAR format:
```
Nd2OsAu3
1.0
3.873 0.000 0.000
0.000 3.873 0.000
0.000 0.000 9.229
Os Au Nd
1 3 2
Direct
0.000 0.000 0.000
0.500 0.500 0.000
0.500 0.000 0.587
0.000 0.500 0.413
0.500 0.000 0.250
0.000 0.500 0.750
```

Computed properties:
Space group ... No. 115
Energy of formation ... -224 meV/atom

=====

No. 7
Entry from the Open Quantum Materials Database: a geometry-optimized LiLuScAu structure (PBE).

The structure in POSCAR format:
```
LiLuScAu
1.0
3.285 0.921 3.380
1.908 4.392 0.360
-1.118 2.805 3.734
Au Lu Sc Li
1 1 1 1
Direct
0.750 0.750 0.750
0.000 0.000 0.000
0.250 0.250 0.250
0.500 0.500 0.500
```

Computed properties:
Space group ... No. 216
Offset from the most stable computed form ... 0.79 eV per formula unit

=====

No. 8
Entry from the Open Quantum Materials Database: a geometry-optimized PmHfTh structure (PBE).

The structure in POSCAR format:
```
PmHfTh
1.0
0.000 3.681 3.681
3.681 0.000 3.681
3.681 3.681 0.000
Pm Th Hf
1 1 1
Direct
0.250 0.250 0.250
0.750 0.750 0.750
0.000 0.000 0.000
```

Computed properties:
Space group ... No. 216
Energy of formation ... 750 meV/atom
Offset from the most stable computed form ... 0.00 eV per formula unit

=====

No. 9
Entry from the Open Quantum Materials Database: a geometry-optimized K2AuO2 structure (PBE).

The structure in POSCAR format:
```
K2AuO2
1.0
-1.155 0.813 3.199
4.918 -0.932 0.101
2.395 5.163 -0.448
O K Au
2 2 1
Direct
0.109 0.218 0.798
0.891 0.782 0.202
0.832 0.664 0.691
0.168 0.336 0.309
0.500 0.000 0.000
```

Computed properties:
Final energy ... -19.2 eV per cell
Space group ... No. 12

=====

No. 10
Entry from the Open Quantum Materials Database: a geometry-optimized PaF2 structure (PBE).

The structure in POSCAR format:
```
PaF2
1.0
3.588 2.071 5.859
-3.588 2.071 5.859
0.000 -4.143 5.859
F Pa
4 2
Direct
0.375 0.375 0.875
0.375 0.875 0.375
0.375 0.375 0.375
0.875 0.375 0.375
0.250 0.250 0.250
0.500 0.500 0.500
```

Computed properties:
Space group ... No. 227
Offset from the most stable computed form ... 0.78 eV per formula unit

=====

No. 11
Entry from the Open Quantum Materials Database: a geometry-optimized Zr9In14Co7 structure (PBE).

The structure in POSCAR format:
```
Zr9In14Co7
1.0
-4.960 0.608 -8.005
7.756 5.250 1.155
0.752 -9.333 -1.175
In Co Zr
14 7 9
Direct
0.658 0.658 0.658
0.000 0.000 0.658
0.000 0.342 0.000
0.658 0.000 0.000
0.342 0.000 0.000
0.250 0.500 0.750
0.658 0.658 0.000
0.750 0.500 0.250
0.000 0.342 0.342
0.000 0.000 0.342
0.000 0.658 0.658
0.342 0.342 0.000
0.342 0.342 0.342
0.000 0.658 0.000
0.721 0.000 0.279
0.721 0.000 0.721
0.279 0.000 0.721
0.721 0.442 0.721
0.279 0.000 0.279
0.500 0.000 0.500
0.279 0.558 0.279
0.621 0.242 0.379
0.621 0.758 0.379
0.379 0.758 0.621
0.863 0.242 0.621
0.000 0.000 0.000
0.137 0.758 0.379
0.621 0.242 0.863
0.379 0.758 0.137
0.379 0.242 0.621
```

Computed properties:
Final energy ... -174.1 eV per cell
Space group ... No. 225

=====

No. 12
Entry from the Open Quantum Materials Database: a geometry-optimized NbGaCoAg structure (PBE).

The structure in POSCAR format:
```
NbGaCoAg
1.0
1.299 -2.386 3.477
-1.598 0.898 4.014
-2.813 -2.798 1.932
Co Ag Ga Nb
1 1 1 1
Direct
0.750 0.750 0.750
0.250 0.250 0.250
0.000 0.000 0.000
0.500 0.500 0.500
```

Computed properties:
Space group ... No. 216
Offset from the most stable computed form ... 0.00 eV per formula unit

=====

No. 13
Entry from the Open Quantum Materials Database: a geometry-optimized HoEr2Cu4Si2Sn2 structure (PBE).

The structure in POSCAR format:
```
HoEr2Cu4Si2Sn2
1.0
-5.514 -4.921 3.448
-7.127 2.777 2.830
5.147 -1.074 -6.234
Si Sn Er Cu Ho
2 2 2 4 1
Direct
0.182 0.500 0.682
0.818 0.500 0.318
0.719 0.219 0.500
0.281 0.781 0.500
0.123 0.123 0.000
0.877 0.877 0.000
0.155 0.346 0.809
0.537 0.346 0.191
0.845 0.654 0.191
0.463 0.654 0.809
0.500 0.000 0.500
```

Computed properties:
Space group ... No. 71
Offset from the most stable computed form ... 0.00 eV per formula unit

=====

No. 14
Entry from the Open Quantum Materials Database: a geometry-optimized TmPdPbSe3 structure (PBE).

The structure in POSCAR format:
```
TmPdPbSe3
1.0
7.879 0.000 0.000
0.000 4.020 0.000
-2.842 0.000 9.587
Se Tm Pb Pd
6 2 2 2
Direct
0.078 0.750 0.368
0.441 0.250 0.673
0.207 0.750 0.951
0.922 0.250 0.632
0.793 0.250 0.049
0.559 0.750 0.327
0.813 0.250 0.337
0.187 0.750 0.663
0.259 0.250 0.207
0.741 0.750 0.793
0.387 0.250 0.926
0.613 0.750 0.074
```

Computed properties:
Space group ... No. 11
Offset from the most stable computed form ... 0.00 eV per formula unit

=====

No. 15
Entry from the Open Quantum Materials Database: a geometry-optimized ZnMoW structure (PBE).

The structure in POSCAR format:
```
ZnMoW
1.0
-0.939 -3.609 -2.126
-3.410 -2.341 1.147
-3.451 -0.154 -2.547
Zn Mo W
1 1 1
Direct
0.750 0.750 0.750
0.000 0.000 0.000
0.250 0.250 0.250
```

Computed properties:
Space group ... No. 216
Energy of formation ... 964 meV/atom
Offset from the most stable computed form ... 0.00 eV per formula unit

=====

No. 16
Entry from the Open Quantum Materials Database: a geometry-optimized PrMgPO structure (PBE).

The structure in POSCAR format:
```
PrMgPO
1.0
4.408 0.000 0.000
0.000 4.413 0.000
0.000 0.000 7.159
Pr O Mg P
2 2 2 2
Direct
0.500 0.210 0.595
0.500 0.790 0.095
0.500 0.710 0.435
0.500 0.290 0.935
0.000 0.706 0.441
0.000 0.294 0.941
0.000 0.206 0.283
0.000 0.794 0.783
```

Computed properties:
Final energy ... -48.0 eV per cell
Space group ... No. 26

=====

No. 17
Entry from the Open Quantum Materials Database: a geometry-optimized U3Se5 structure (PBE).

The structure in POSCAR format:
```
U3Se5
1.0
7.702 0.000 0.000
-0.002 8.206 0.000
0.000 -0.001 12.160
Se U
20 12
Direct
0.831 0.550 0.098
0.797 0.250 0.781
0.829 0.750 0.816
0.331 0.050 0.402
0.831 0.950 0.098
0.703 0.250 0.281
0.669 0.550 0.598
0.671 0.750 0.316
0.171 0.250 0.184
0.534 0.250 0.000
0.034 0.750 0.500
0.466 0.750 0.000
0.669 0.950 0.598
0.203 0.750 0.219
0.331 0.450 0.402
0.169 0.050 0.902
0.966 0.250 0.500
0.169 0.450 0.902
0.297 0.750 0.719
0.329 0.250 0.684
0.979 0.000 0.320
0.021 0.000 0.680
0.082 0.750 0.993
0.021 0.500 0.680
0.582 0.250 0.507
0.479 0.000 0.180
0.418 0.750 0.493
0.979 0.500 0.320
0.521 0.500 0.820
0.521 0.000 0.820
0.479 0.500 0.180
0.918 0.250 0.007
```

Computed properties:
Space group ... No. 62
Offset from the most stable computed form ... 0.00 eV per formula unit

=====

No. 18
Entry from the Open Quantum Materials Database: a geometry-optimized Li2H2Pt structure (PBE).

The structure in POSCAR format:
```
Li2H2Pt
1.0
-1.550 1.550 4.979
1.550 -1.550 4.979
1.550 1.550 -4.979
Li H Pt
2 2 1
Direct
0.359 0.359 0.000
0.641 0.641 0.000
0.833 0.833 0.000
0.167 0.167 0.000
0.000 0.000 0.000
```

Computed properties:
Final energy ... -19.1 eV per cell
Space group ... No. 139

=====

No. 19
Entry from the Open Quantum Materials Database: a geometry-optimized NaMgHg6 structure (PBE).

The structure in POSCAR format:
```
NaMgHg6
1.0
-2.845 -3.214 5.027
2.552 -3.389 -5.069
4.542 -0.216 2.432
Mg Hg Na
1 6 1
Direct
0.000 0.000 0.000
0.499 0.501 0.000
0.837 0.674 0.500
0.499 0.999 0.000
0.326 0.163 0.500
0.837 0.163 0.500
0.001 0.501 0.000
0.333 0.667 0.500
```

Computed properties:
Final energy ... -5.8 eV per cell
Space group ... No. 187

=====

No. 20
Entry from the Open Quantum Materials Database: a geometry-optimized LiMgCd2 structure (PBE).

The structure in POSCAR format:
```
LiMgCd2
1.0
-3.456 -1.209 -3.031
-4.015 2.538 -0.161
-0.925 2.747 -3.767
Cd Li Mg
2 1 1
Direct
0.750 0.750 0.750
0.000 0.000 0.000
0.500 0.500 0.500
0.250 0.250 0.250
```

Computed properties:
Final energy ... -6.0 eV per cell
Space group ... No. 216

=====

No. 21
Entry from the Open Quantum Materials Database: a geometry-optimized Tm2InGaPt4 structure (PBE).

The structure in POSCAR format:
```
Tm2InGaPt4
1.0
4.466 0.000 0.000
-2.233 3.868 0.000
0.000 0.000 8.985
Pt In Tm Ga
4 1 2 1
Direct
0.667 0.333 0.097
0.333 0.667 0.903
0.333 0.667 0.584
0.667 0.333 0.416
0.000 0.000 0.000
0.333 0.667 0.255
0.667 0.333 0.745
0.000 0.000 0.500
```

Computed properties:
Final energy ... -47.1 eV per cell
Space group ... No. 164

=====

No. 22
Entry from the Open Quantum Materials Database: a geometry-optimized NdAlInIr structure (PBE).

The structure in POSCAR format:
```
NdAlInIr
1.0
-3.039 2.899 3.408
-4.448 3.040 0.474
-4.896 -10.134 1.864
In Ir Al Nd
2 2 2 2
Direct
0.123 0.123 0.433
0.877 0.877 0.567
0.798 0.798 0.088
0.202 0.202 0.912
0.166 0.166 0.688
0.834 0.834 0.312
0.918 0.918 0.847
0.082 0.082 0.153
```

Computed properties:
Final energy ... -40.9 eV per cell
Space group ... No. 12

=====

No. 23
Entry from the Open Quantum Materials Database: a geometry-optimized Hf3SnB4 structure (PBE).

The structure in POSCAR format:
```
Hf3SnB4
1.0
-2.720 -0.245 1.476
-1.561 -0.319 -2.930
1.196 -10.332 0.487
B Sn Hf
4 1 3
Direct
0.500 0.000 0.594
0.000 0.000 0.673
0.500 0.000 0.406
0.000 0.000 0.327
0.000 0.000 0.000
0.500 0.500 0.229
0.000 0.500 0.500
0.500 0.500 0.771
```

Computed properties:
Final energy ... -66.2 eV per cell
Space group ... No. 47